No. 1
! KEr2Hf2O7 (PBE-GGA, relaxed); values from VASP
&SYSTEM
  ibrav = 0, nat = 12, ntyp = 4
/
ATOMIC_SPECIES
K 39.10 K.upf
Er 167.26 Er.upf
Hf 178.49 Hf.upf
O 16.00 O.upf
ATOMIC_POSITIONS crystal
K 0.000 0.000 0.000
Er 0.241 0.501 0.740
Er 0.761 0.501 0.260
Hf 0.391 0.000 0.392
Hf 0.608 0.000 0.608
O 0.121 0.503 0.619
O 0.273 0.001 0.271
O 0.375 0.502 0.873
O 0.501 0.001 0.500
O 0.628 0.502 0.127
O 0.730 0.001 0.729
O 0.884 0.503 0.381
CELL_PARAMETERS angstrom
-2.129 9.173 2.221
2.129 -9.173 2.221
2.129 9.173 -2.221
! - space-group type = No. 44
! - raw formation energy (meV/atom) = -3095
! - calculated density (g cm⁻³) = 8.1

***

No. 2
! LaPrScIn (PBE-GGA, relaxed); values from VASP
&SYSTEM
  ibrav = 0, nat = 16, ntyp = 4
/
ATOMIC_SPECIES
La 138.91 La.upf
Pr 140.91 Pr.upf
Sc 44.96 Sc.upf
In 114.82 In.upf
ATOMIC_POSITIONS crystal
La 0.000 0.000 0.000
La 0.000 0.500 0.500
La 0.500 0.000 0.500
La 0.500 0.500 0.000
Pr 0.000 0.000 0.500
Pr 0.000 0.500 0.000
Pr 0.500 0.000 0.000
Pr 0.500 0.500 0.500
Sc 0.250 0.250 0.250
Sc 0.250 0.750 0.750
Sc 0.750 0.250 0.750
Sc 0.750 0.750 0.250
In 0.250 0.250 0.750
In 0.250 0.750 0.250
In 0.750 0.250 0.250
In 0.750 0.750 0.750
CELL_PARAMETERS angstrom
7.836 0.000 0.000
0.000 7.836 0.000
0.000 0.000 7.836
! - space-group type = No. 216
! - calculated density (g cm⁻³) = 6.1
! - ΔE_f (eV per atom) = -0.17

***

No. 3
! Rb2GaHg6 (PBE-GGA, relaxed); values from VASP
&SYSTEM
  ibrav = 0, nat = 9, ntyp = 3
/
ATOMIC_SPECIES
Rb 85.47 Rb.upf
Ga 69.72 Ga.upf
Hg 200.59 Hg.upf
ATOMIC_POSITIONS crystal
Rb 0.225 0.225 0.156
Rb 0.775 0.775 0.844
Ga 0.500 0.500 0.000
Hg 0.217 0.732 0.678
Hg 0.238 0.238 0.667
Hg 0.268 0.783 0.322
Hg 0.732 0.217 0.678
Hg 0.762 0.762 0.333
Hg 0.783 0.268 0.322
CELL_PARAMETERS angstrom
6.305 -3.521 0.000
6.305 3.521 0.000
-3.952 0.000 6.526
! - space-group type = No. 12
! - calculated density (g cm⁻³) = 8.3
! - ΔE_f (eV per atom) = -0.15

***

No. 4
! TmHfMn (PBE-GGA, relaxed); values from VASP
&SYSTEM
  ibrav = 0, nat = 6, ntyp = 3
/
ATOMIC_SPECIES
Tm 168.93 Tm.upf
Hf 178.49 Hf.upf
Mn 54.94 Mn.upf
ATOMIC_POSITIONS crystal
Tm 0.000 0.000 0.000
Tm 0.500 0.500 0.500
Hf 0.000 0.000 0.262
Hf 0.500 0.500 0.762
Mn 0.000 0.000 0.651
Mn 0.500 0.500 0.151
CELL_PARAMETERS angstrom
3.239 0.000 0.000
0.000 3.239 0.000
0.000 0.000 11.766
! - space-group type = No. 107
! - calculated density (g cm⁻³) = 10.8
! - ΔE_f (eV per atom) = 0.07

***

Which of these has the highest calculated density? TmHfMn

***

Which of these has the lowest calculated density? LaPrScIn

***

calculated density of number 2 (LaPrScIn)? 6.1 g cm⁻³

***

Which value of calculated density does entry 2 give? 6.1 g cm⁻³